[1]
Mg3BeSb | Alexandria | PBE | optimized geometry; SG = Pm-3m (221); calculated volume = 22.03 Å³ per atom; raw total energy = -2.3069 eV per atom; excess energy over the best structure of this formula in the dataset = 0.000 eV per atom; DOS(E_F) = 3.069 states/eV per cell
1.0
4.793 0.000 0.000
0.000 4.793 0.000
0.000 0.000 4.793
Mg Be Sb
3 1 1
direct
0.000 0.000 0.500 Mg
0.000 0.500 0.000 Mg
0.500 0.000 0.000 Mg
0.000 0.000 0.000 Be
0.500 0.500 0.500 Sb



[2]
Ba2MgIr2 | Alexandria | PBE | optimized geometry; SG = P4/mbm (127); calculated volume = 27.36 Å³ per atom; raw total energy = -4.6251 eV per atom; DOS(E_F) = 4.084 states/eV per cell
1.0
7.399 0.000 0.000
0.000 7.399 0.000
0.000 0.000 4.998
Ba Mg Ir
4 2 4
direct
0.177 0.323 0.000 Ba
0.323 0.823 0.000 Ba
0.677 0.177 0.000 Ba
0.823 0.677 0.000 Ba
0.000 0.000 0.500 Mg
0.500 0.500 0.500 Mg
0.120 0.620 0.500 Ir
0.380 0.120 0.500 Ir
0.620 0.880 0.500 Ir
0.880 0.380 0.500 Ir



[3]
Ag3NO | Alexandria | PBE | optimized geometry; SG = Pm-3m (221); calculated volume = 15.34 Å³ per atom; raw total energy = -3.5455 eV per atom; excess energy over the best structure of this formula in the dataset = 0.000 eV per atom; DOS(E_F) = 3.993 states/eV per cell
1.0
4.249 0.000 0.000
0.000 4.249 0.000
0.000 0.000 4.249
Ag N O
3 1 1
direct
0.000 0.000 0.500 Ag
0.000 0.500 0.000 Ag
0.500 0.000 0.000 Ag
0.000 0.000 0.000 N
0.500 0.500 0.500 O



[4]
CuSb2Te | Alexandria | PBE | optimized geometry; SG = I-4m2 (119); calculated volume = 24.33 Å³ per atom; raw total energy = -3.4813 eV per atom; DOS(E_F) = 2.278 states/eV per cell
1.0
-2.545 2.545 3.757
2.545 -2.545 3.757
2.545 2.545 -3.757
Cu Sb Te
1 2 1
direct
0.000 0.000 0.000 Cu
0.250 0.750 0.500 Sb
0.500 0.500 0.000 Sb
0.750 0.250 0.500 Te



[5]
CdHgPdAu | Alexandria | PBE | optimized geometry; SG = F-43m (216); calculated volume = 18.78 Å³ per atom; raw total energy = -2.5676 eV per atom; excess energy over the best structure of this formula in the dataset = 0.015 eV per atom; DOS(E_F) = 1.963 states/eV per cell
1.0
0.000 3.349 3.349
3.349 0.000 3.349
3.349 3.349 0.000
Cd Hg Pd Au
1 1 1 1
direct
0.000 0.000 0.000 Cd
0.500 0.500 0.500 Hg
0.750 0.750 0.750 Pd
0.250 0.250 0.250 Au



[6]
LaSm2TeO8 | Alexandria | PBE | optimized geometry; SG = Cmmm (65); calculated volume = 15.74 Å³ per atom; raw total energy = -7.2180 eV per atom; DOS(E_F) = 5.497 states/eV per cell
1.0
3.597 -3.642 0.000
3.597 3.642 0.000
0.000 0.000 7.210
La Sm Te O
1 2 1 8
direct
0.000 0.000 0.000 La
0.500 0.500 0.259 Sm
0.500 0.500 0.741 Sm
0.000 0.000 0.500 Te
0.181 0.819 0.299 O
0.181 0.819 0.701 O
0.272 0.272 0.500 O
0.315 0.315 0.000 O
0.685 0.685 0.000 O
0.728 0.728 0.500 O
0.819 0.181 0.299 O
0.819 0.181 0.701 O



[7]
LiTi2HRh | Alexandria | PBE | optimized geometry; SG = P4/mmm (123); calculated volume = 12.07 Å³ per atom; raw total energy = -6.0246 eV per atom; DOS(E_F) = 3.918 states/eV per cell
1.0
4.183 0.000 0.000
0.000 4.183 0.000
0.000 0.000 3.449
Li Ti H Rh
1 2 1 1
direct
0.000 0.000 0.000 Li
0.000 0.500 0.500 Ti
0.500 0.000 0.500 Ti
0.000 0.000 0.500 H
0.500 0.500 0.000 Rh



[8]
Rb2UAgS6 | Alexandria | PBE | optimized geometry; SG = C2/m (12); calculated volume = 29.89 Å³ per atom; raw total energy = -4.7998 eV per atom; DOS(E_F) = 1.696 states/eV per cell
1.0
7.434 -3.231 0.000
7.434 3.231 0.000
-1.471 0.000 6.222
Rb U Ag S
2 1 1 6
direct
0.227 0.227 0.221 Rb
0.773 0.773 0.779 Rb
0.500 0.500 0.000 U
0.000 0.000 0.500 Ag
0.154 0.701 0.213 S
0.299 0.846 0.787 S
0.347 0.347 0.754 S
0.653 0.653 0.246 S
0.701 0.154 0.213 S
0.846 0.299 0.787 S



[9]
Na2TaPbS4 | Alexandria | PBE | optimized geometry; SG = Pmn2_1 (31); calculated volume = 28.91 Å³ per atom; raw total energy = -5.1952 eV per atom; DOS(E_F) = 3.186 states/eV per cell
1.0
9.579 0.000 0.000
0.000 7.249 0.000
0.000 0.000 6.662
Na Ta Pb S
4 2 2 8
direct
0.239 0.174 0.000 Na
0.261 0.826 0.500 Na
0.739 0.826 0.500 Na
0.761 0.174 0.000 Na
0.000 0.656 0.030 Ta
0.500 0.344 0.530 Ta
0.000 0.340 0.448 Pb
0.500 0.660 0.948 Pb
0.000 0.361 0.892 S
0.000 0.707 0.379 S
0.200 0.797 0.918 S
0.300 0.203 0.418 S
0.500 0.293 0.879 S
0.500 0.639 0.392 S
0.700 0.203 0.418 S
0.800 0.797 0.918 S



[10]
K6Tl3Cl14 | Alexandria | PBE | optimized geometry; SG = P3 (143); calculated volume = 33.37 Å³ per atom; raw total energy = -3.0867 eV per atom; DOS(E_F) = 3.070 states/eV per cell
1.0
11.157 0.000 0.000
-5.578 9.662 0.000
0.000 0.000 7.120
K Tl Cl
6 3 14
direct
0.018 0.551 0.000 K
0.287 0.102 0.548 K
0.449 0.467 0.000 K
0.533 0.982 0.000 K
0.816 0.713 0.548 K
0.898 0.184 0.548 K
0.000 0.000 0.982 Tl
0.333 0.667 0.440 Tl
0.667 0.333 0.363 Tl
0.000 0.000 0.362 Cl
0.094 0.844 0.812 Cl
0.156 0.250 0.812 Cl
0.196 0.436 0.291 Cl
0.239 0.804 0.291 Cl
0.333 0.667 0.786 Cl
0.443 0.198 0.151 Cl
0.532 0.424 0.573 Cl
0.564 0.761 0.291 Cl
0.576 0.108 0.573 Cl
0.750 0.906 0.812 Cl
0.755 0.557 0.151 Cl
0.802 0.245 0.151 Cl
0.892 0.468 0.573 Cl



[11]
Li4CaTl5 | Alexandria | PBE | optimized geometry; SG = P4/mmm (123); calculated volume = 22.76 Å³ per atom; raw total energy = -2.4007 eV per atom; DOS(E_F) = 5.123 states/eV per cell
1.0
3.575 0.000 0.000
0.000 3.575 0.000
0.000 0.000 17.801
Li Ca Tl
4 1 5
direct
0.000 0.000 0.096 Li
0.000 0.000 0.284 Li
0.000 0.000 0.716 Li
0.000 0.000 0.904 Li
0.000 0.000 0.500 Ca
0.500 0.500 0.000 Tl
0.500 0.500 0.191 Tl
0.500 0.500 0.376 Tl
0.500 0.500 0.624 Tl
0.500 0.500 0.809 Tl



[12]
Ba2Sr2Pd3 | Alexandria | PBE | optimized geometry; SG = C2/m (12); calculated volume = 34.66 Å³ per atom; raw total energy = -3.7126 eV per atom; DOS(E_F) = 3.196 states/eV per cell
1.0
7.897 -2.334 0.000
7.897 2.334 0.000
-0.314 0.000 6.581
Ba Sr Pd
2 2 3
direct
0.141 0.141 0.125 Ba
0.859 0.859 0.875 Ba
0.389 0.389 0.372 Sr
0.611 0.611 0.628 Sr
0.234 0.234 0.636 Pd
0.500 0.500 0.000 Pd
0.766 0.766 0.364 Pd



[13]
Pm3Sb2S | Alexandria | PBE | optimized geometry; SG = C2/c (15); calculated volume = 29.20 Å³ per atom; raw total energy = -5.8678 eV per atom; excess energy over the best structure of this formula in the dataset = 0.000 eV per atom; DOS(E_F) = 2.920 states/eV per cell
1.0
3.777 -6.534 0.000
3.777 6.534 0.000
-2.486 0.000 7.100
Pm Sb S
6 4 2
direct
0.000 0.500 0.000 Pm
0.153 0.310 0.496 Pm
0.310 0.153 0.996 Pm
0.500 0.000 0.500 Pm
0.690 0.847 0.004 Pm
0.847 0.690 0.504 Pm
0.256 0.744 0.750 Sb
0.418 0.582 0.250 Sb
0.582 0.418 0.750 Sb
0.744 0.256 0.250 Sb
0.086 0.914 0.250 S
0.914 0.086 0.750 S



[14]
LaErS2O | Alexandria | PBE | optimized geometry; SG = P4/nmm (129); calculated volume = 21.97 Å³ per atom; raw total energy = -7.1004 eV per atom; DOS(E_F) = 1.366 states/eV per cell
1.0
3.967 0.000 0.000
0.000 3.967 0.000
0.000 0.000 13.964
La Er S O
2 2 4 2
direct
0.250 0.250 0.092 La
0.750 0.750 0.908 La
0.250 0.250 0.619 Er
0.750 0.750 0.381 Er
0.250 0.250 0.410 S
0.250 0.250 0.795 S
0.750 0.750 0.205 S
0.750 0.750 0.590 S
0.250 0.750 0.000 O
0.750 0.250 0.000 O



[15]
Zn2NO | Alexandria | PBE | optimized geometry; SG = Fm-3m (225); calculated volume = 9.97 Å³ per atom; raw total energy = -3.6366 eV per atom; excess energy over the best structure of this formula in the dataset = 0.690 eV per atom; DOS(E_F) = 1.870 states/eV per cell
1.0
0.000 2.712 2.712
2.712 0.000 2.712
2.712 2.712 0.000
Zn N O
2 1 1
direct
0.250 0.250 0.250 Zn
0.750 0.750 0.750 Zn
0.000 0.000 0.000 N
0.500 0.500 0.500 O



[16]
NaCdCu | Alexandria | PBE | optimized geometry; SG = I4mm (107); calculated volume = 21.57 Å³ per atom; raw total energy = -1.9946 eV per atom; excess energy over the best structure of this formula in the dataset = 0.000 eV per atom; DOS(E_F) = 0.763 states/eV per cell
1.0
-1.722 1.722 5.452
1.722 -1.722 5.452
1.722 1.722 -5.452
Na Cd Cu
1 1 1
direct
0.000 0.000 0.000 Na
0.290 0.290 0.000 Cd
0.690 0.690 0.000 Cu



[17]
RbMn3Se | Alexandria | PBE | optimized geometry; SG = Pm-3m (221); calculated volume = 25.86 Å³ per atom; raw total energy = -4.1572 eV per atom; excess energy over the best structure of this formula in the dataset = 1.449 eV per atom; DOS(E_F) = 3.458 states/eV per cell
1.0
5.057 0.000 0.000
0.000 5.057 0.000
0.000 0.000 5.057
Rb Mn Se
1 3 1
direct
0.000 0.000 0.000 Rb
0.000 0.000 0.500 Mn
0.000 0.500 0.000 Mn
0.500 0.000 0.000 Mn
0.500 0.500 0.500 Se



[18]
GeOs3Au | Alexandria | PBE | optimized geometry; SG = Pm-3m (221); calculated volume = 18.56 Å³ per atom; raw total energy = -6.4897 eV per atom; excess energy over the best structure of this formula in the dataset = 0.000 eV per atom; DOS(E_F) = 5.685 states/eV per cell
1.0
4.527 0.000 0.000
0.000 4.527 0.000
0.000 0.000 4.527
Ge Os Au
1 3 1
direct
0.000 0.000 0.000 Ge
0.000 0.000 0.500 Os
0.000 0.500 0.000 Os
0.500 0.000 0.000 Os
0.500 0.500 0.500 Au



[19]
KNd2I6 | Alexandria | PBE | optimized geometry; SG = C2/m (12); calculated volume = 49.65 Å³ per atom; raw total energy = -3.5754 eV per atom; DOS(E_F) = 2.600 states/eV per cell
1.0
9.992 -2.172 0.000
9.992 2.172 0.000
-2.216 0.000 10.294
K Nd I
1 2 6
direct
0.000 0.000 0.000 K
0.334 0.334 0.662 Nd
0.666 0.666 0.338 Nd
0.168 0.168 0.565 I
0.184 0.184 0.129 I
0.490 0.490 0.735 I
0.510 0.510 0.265 I
0.816 0.816 0.871 I
0.832 0.832 0.435 I



[20]
SbAsCl | Alexandria | PBE | optimized geometry; SG = P3m1 (156); calculated volume = 27.04 Å³ per atom; raw total energy = -3.7163 eV per atom; excess energy over the best structure of this formula in the dataset = 0.000 eV per atom; DOS(E_F) = 2.254 states/eV per cell
1.0
3.960 0.000 0.000
-1.980 3.430 0.000
0.000 0.000 5.971
Sb As Cl
1 1 1
direct
0.000 0.000 0.000 Sb
0.667 0.333 0.241 As
0.333 0.667 0.659 Cl



[21]
KTlZn | Alexandria | PBE | optimized geometry; SG = F-43m (216); calculated volume = 34.82 Å³ per atom; raw total energy = -1.4278 eV per atom; excess energy over the best structure of this formula in the dataset = 0.127 eV per atom; DOS(E_F) = 1.500 states/eV per cell
1.0
0.000 3.738 3.738
3.738 0.000 3.738
3.738 3.738 0.000
K Tl Zn
1 1 1
direct
0.000 0.000 0.000 K
0.500 0.500 0.500 Tl
0.750 0.750 0.750 Zn



[22]
KP3Pd5 | Alexandria | PBE | optimized geometry; SG = Cmcm (63); calculated volume = 17.62 Å³ per atom; raw total energy = -5.2898 eV per atom; DOS(E_F) = 6.486 states/eV per cell
1.0
1.919 -6.414 0.000
1.919 6.414 0.000
0.000 0.000 12.887
K P Pd
2 6 10
direct
0.150 0.850 0.750 K
0.850 0.150 0.250 K
0.122 0.878 0.250 P
0.385 0.615 0.036 P
0.385 0.615 0.464 P
0.615 0.385 0.536 P
0.615 0.385 0.964 P
0.878 0.122 0.750 P
0.000 0.000 0.000 Pd
0.000 0.000 0.500 Pd
0.208 0.792 0.071 Pd
0.208 0.792 0.429 Pd
0.438 0.562 0.645 Pd
0.438 0.562 0.855 Pd
0.562 0.438 0.145 Pd
0.562 0.438 0.355 Pd
0.792 0.208 0.571 Pd
0.792 0.208 0.929 Pd



[23]
FePOs2 | Alexandria | PBE | optimized geometry; SG = Cmm2 (35); calculated volume = 13.58 Å³ per atom; raw total energy = -8.6324 eV per atom; DOS(E_F) = 4.146 states/eV per cell
1.0
1.397 -2.356 0.000
1.397 2.356 0.000
0.000 0.000 8.247
Fe P Os
1 1 2
direct
0.000 0.000 0.000 Fe
0.500 0.500 0.781 P
0.000 0.000 0.549 Os
0.500 0.500 0.262 Os



[24]
YTl3In | Alexandria | PBE | optimized geometry; SG = Pm-3m (221); calculated volume = 41.70 Å³ per atom; raw total energy = -2.8264 eV per atom; excess energy over the best structure of this formula in the dataset = 0.011 eV per atom; DOS(E_F) = 5.556 states/eV per cell
1.0
5.930 0.000 0.000
0.000 5.930 0.000
0.000 0.000 5.930
Y Tl In
1 3 1
direct
0.000 0.000 0.000 Y
0.000 0.000 0.500 Tl
0.000 0.500 0.000 Tl
0.500 0.000 0.000 Tl
0.500 0.500 0.500 In